Record 1
Here is an optimized crystal structure of AcTb12Y7 from Alexandria via LeMat-Bulk. Energies are from PBE-GGA.

a = 12.2032 Å, b = 12.2032 Å, c = 15.6360 Å
α = 90.00°, β = 90.00°, γ = 120.00°
Space group R-3 (No. 148, hexagonal axes)
One atom of each set of equivalent atoms:
Ac 0.0000 0.0000 0.0000
Tb 0.0084 0.5689 0.7125
Tb 0.0534 0.4638 0.0859
Y 0.0000 0.0000 0.5000
Y 0.0450 0.8566 0.7983

Uncorrected energy (eV/atom): -5.02

***

Record 2
Here is an optimized crystal structure of Ac2Tb5Y6 from Alexandria via LeMat-Bulk. Energies are from PBE-GGA.

a = 11.9981 Å, b = 20.4634 Å, c = 3.6571 Å
α = 90.00°, β = 90.00°, γ = 90.00°
Space group Pbam (No. 55)
One atom of each set of equivalent atoms:
Ac 0.1595 0.2207 0.0000
Tb 0.0000 0.5000 0.5000
Tb 0.1017 0.7817 0.5000
Tb 0.2011 0.0509 0.5000
Y 0.0583 0.9242 0.0000
Y 0.0770 0.6369 0.0000
Y 0.1814 0.3813 0.5000

Uncorrected energy (eV/atom): -5.28

***

Record 3
Here is an optimized crystal structure of Ac4Tb2Y3 from Alexandria via LeMat-Bulk. Energies are from PBE-GGA.

a = 11.5806 Å, b = 5.4107 Å, c = 11.2173 Å
α = 90.00°, β = 106.09°, γ = 90.00°
Space group C2/m (No. 12)
One atom of each set of equivalent atoms:
Ac 0.0048 0.0000 0.3321
Ac 0.1661 0.5000 0.8884
Tb 0.1719 0.5000 0.2281
Y 0.0000 0.0000 0.0000
Y 0.1652 0.5000 0.5505

Uncorrected energy (eV/atom): -4.95

***

Record 4
Here is an optimized crystal structure of Ac14TbY from Alexandria via LeMat-Bulk. Energies are from PBE-GGA.

a = 7.8787 Å, b = 7.8787 Å, c = 11.2030 Å
α = 90.00°, β = 90.00°, γ = 90.00°
Space group P4/mmm (No. 123)
One atom of each set of equivalent atoms:
Ac 0.0000 0.0000 0.0000
Ac 0.0000 0.5000 0.0000
Ac 0.0000 0.5000 0.5000
Ac 0.2499 0.2499 0.2562
Ac 0.5000 0.5000 0.0000
Tb 0.0000 0.0000 0.5000
Y 0.5000 0.5000 0.5000

Uncorrected energy (eV/atom): -4.26

***

Record 5
Here is an optimized crystal structure of Ac2TbY from Alexandria via LeMat-Bulk. Energies are from PBE-GGA.

a = 7.4901 Å, b = 24.4719 Å, c = 13.4904 Å
α = 90.00°, β = 90.07°, γ = 90.00°
Space group C2/c (No. 15)
One atom of each set of equivalent atoms:
Ac 0.0000 0.0220 0.2500
Ac 0.9996 0.2498 0.5006
Ac 0.0000 0.4770 0.7500
Ac 0.2492 0.0001 0.0003
Ac 0.2503 0.2275 0.7504
Tb 0.0007 0.1144 0.6138
Tb 0.2492 0.1356 0.1133
Y 0.0011 0.3857 0.1138
Y 0.2497 0.1356 0.3858

Uncorrected energy (eV/atom): -4.70

***

Record 6
Here is an optimized crystal structure of AcTbY from Alexandria via LeMat-Bulk. Energies are from PBE-GGA.

a = 12.1476 Å, b = 5.8982 Å, c = 6.0967 Å
α = 90.00°, β = 90.00°, γ = 90.00°
Space group Pnma (No. 62)
One atom of each set of equivalent atoms:
Ac 0.2493 0.2500 0.0038
Tb 0.0667 0.7500 0.9480
Y 0.0672 0.2500 0.5536

Uncorrected energy (eV/atom): -4.98

***

Record 7
Here is an optimized crystal structure of AcTb4Y4 from Alexandria via LeMat-Bulk. Energies are from PBE-GGA.

a = 10.8482 Å, b = 10.8482 Å, c = 5.1041 Å
α = 90.00°, β = 90.00°, γ = 90.00°
Space group I4/mmm (No. 139)
One atom of each set of equivalent atoms:
Ac 0.0000 0.0000 0.0000
Tb 0.0000 0.3371 0.0000
Y 0.1702 0.1702 0.5000

Uncorrected energy (eV/atom): -5.35

***

Record 8
Here is an optimized crystal structure of AcTb3Y6 from Alexandria via LeMat-Bulk. Energies are from PBE-GGA.

a = 9.9370 Å, b = 9.9370 Å, c = 12.0249 Å
α = 90.00°, β = 90.00°, γ = 120.00°
Space group R32 (No. 155, hexagonal axes)
One atom of each set of equivalent atoms:
Ac 0.0000 0.0000 0.0000
Tb 0.0000 0.0000 0.2614
Tb 0.0000 0.0000 0.5000
Y 0.0000 0.3434 0.0000
Y 0.0000 0.6680 0.5000

Uncorrected energy (eV/atom): -5.38

***

Record 9
Here is an optimized crystal structure of Ac2TbY5 from Alexandria via LeMat-Bulk. Energies are from PBE-GGA.

a = 5.2639 Å, b = 5.2639 Å, c = 20.2915 Å
α = 90.00°, β = 90.00°, γ = 90.00°
Space group I4/mmm (No. 139)
One atom of each set of equivalent atoms:
Ac 0.0000 0.0000 0.2505
Tb 0.0000 0.0000 0.0000
Y 0.0000 0.0000 0.5000
Y 0.0000 0.5000 0.1185

Uncorrected energy (eV/atom): -5.59

***

Record 10
Here is an optimized crystal structure of Ac2Tb5Y5 from Alexandria via LeMat-Bulk. Energies are from PBE-GGA.

a = 15.4877 Å, b = 5.1454 Å, c = 11.4700 Å
α = 90.00°, β = 116.67°, γ = 90.00°
Space group C2/m (No. 12)
One atom of each set of equivalent atoms:
Ac 0.0824 0.0000 0.2497
Tb 0.0000 0.5000 0.0000
Tb 0.0868 0.5000 0.7508
Tb 0.1659 0.5000 0.5018
Y 0.0000 0.0000 0.5000
Y 0.1697 0.0000 0.0005
Y 0.2460 0.0000 0.7483

Uncorrected energy (eV/atom): -5.26

***

Record 11
Here is an optimized crystal structure of AcTb2Zn3 from Alexandria via LeMat-Bulk. Energies are from PBE-GGA.

a = 3.6920 Å, b = 3.6920 Å, c = 11.0684 Å
α = 90.00°, β = 90.00°, γ = 90.00°
Space group P4/mmm (No. 123)
One atom of each set of equivalent atoms:
Ac 0.0000 0.0000 0.0000
Tb 0.0000 0.0000 0.3428
Zn 0.5000 0.5000 0.1959
Zn 0.5000 0.5000 0.5000

Uncorrected energy (eV/atom): -3.15

***

Record 12
Here is an optimized crystal structure of Ac2TbZn from Alexandria via LeMat-Bulk. Energies are from PBE-GGA.

a = 3.8932 Å, b = 3.8932 Å, c = 9.0941 Å
α = 90.00°, β = 90.00°, γ = 90.00°
Space group P4/mmm (No. 123)
One atom of each set of equivalent atoms:
Ac 0.0000 0.0000 0.2148
Tb 0.5000 0.5000 0.5000
Zn 0.5000 0.5000 0.0000

Uncorrected energy (eV/atom): -3.62

***

Record 13
Here is an optimized crystal structure of Ac4TbZn from Alexandria via LeMat-Bulk. Energies are from PBE-GGA.

a = 3.9142 Å, b = 3.9142 Å, c = 14.8038 Å
α = 90.00°, β = 90.00°, γ = 90.00°
Space group P4/mmm (No. 123)
One atom of each set of equivalent atoms:
Ac 0.0000 0.0000 0.1308
Ac 0.5000 0.5000 0.3279
Tb 0.0000 0.0000 0.5000
Zn 0.5000 0.5000 0.0000

Uncorrected energy (eV/atom): -3.78

***

Record 14
Here is an optimized crystal structure of AcTbZn from Alexandria via LeMat-Bulk. Energies are from PBE-GGA.

a = 5.2145 Å, b = 5.2145 Å, c = 3.9707 Å
α = 90.00°, β = 90.00°, γ = 120.00°
Space group P-6m2 (No. 187)
One atom of each set of equivalent atoms:
Ac 0.0000 0.0000 0.0000
Tb 0.6667 0.3333 0.5000
Zn 0.3333 0.6667 0.5000

Uncorrected energy (eV/atom): -3.37

***

Record 15
Here is an optimized crystal structure of Ac5TbZn4 from Alexandria via LeMat-Bulk. Energies are from PBE-GGA.

a = 3.9072 Å, b = 3.9072 Å, c = 20.7989 Å
α = 90.00°, β = 90.00°, γ = 90.00°
Space group P4/mmm (No. 123)
One atom of each set of equivalent atoms:
Ac 0.0000 0.0000 0.0000
Ac 0.0000 0.0000 0.1882
Ac 0.0000 0.0000 0.3753
Tb 0.5000 0.5000 0.5000
Zn 0.5000 0.5000 0.0936
Zn 0.5000 0.5000 0.2833

Uncorrected energy (eV/atom): -3.21

***

Record 16
Here is an optimized crystal structure of AcTb2Zn9 from Alexandria via LeMat-Bulk. Energies are from PBE-GGA.

a = 5.5863 Å, b = 5.5863 Å, c = 25.9586 Å
α = 90.00°, β = 90.00°, γ = 120.00°
Space group R-3m (No. 166, hexagonal axes)
One atom of each set of equivalent atoms:
Ac 0.0000 0.0000 0.0000
Tb 0.0000 0.0000 0.1432
Zn 0.0000 0.0000 0.3357
Zn 0.0000 0.0000 0.5000
Zn 0.0079 0.5040 0.9158

Uncorrected energy (eV/atom): -2.37

***

Record 17
Here is an optimized crystal structure of AcTbZn from Alexandria via LeMat-Bulk. Energies are from PBE-GGA.

a = 3.7895 Å, b = 3.7895 Å, c = 12.7475 Å
α = 90.00°, β = 90.00°, γ = 90.00°
Space group I4mm (No. 107)
One atom of each set of equivalent atoms:
Ac 0.0000 0.0000 0.0000
Tb 0.0000 0.0000 0.2854
Zn 0.0000 0.0000 0.6688

Uncorrected energy (eV/atom): -3.50

***

Record 18
Here is an optimized crystal structure of AcTb4Zn from Alexandria via LeMat-Bulk. Energies are from PBE-GGA.

a = 3.6636 Å, b = 3.6636 Å, c = 13.8328 Å
α = 90.00°, β = 90.00°, γ = 90.00°
Space group P4/mmm (No. 123)
One atom of each set of equivalent atoms:
Ac 0.0000 0.0000 0.0000
Tb 0.0000 0.0000 0.3745
Tb 0.5000 0.5000 0.1950
Zn 0.5000 0.5000 0.5000

Uncorrected energy (eV/atom): -4.06

***

Record 19
Here is an optimized crystal structure of AcTbZn from Alexandria via LeMat-Bulk. Energies are from PBE-GGA.

a = 7.3645 Å, b = 7.3645 Å, c = 7.3645 Å
α = 90.00°, β = 90.00°, γ = 90.00°
Space group F-43m (No. 216)
One atom of each set of equivalent atoms:
Ac 0.0000 0.0000 0.0000
Tb 0.0000 0.0000 0.5000
Zn 0.2500 0.2500 0.2500

Uncorrected energy (eV/atom): -3.28

***

Record 20
Here is an optimized crystal structure of Ac2TbZn4 from Alexandria via LeMat-Bulk. Energies are from PBE-GGA.

a = 5.4249 Å, b = 5.4249 Å, c = 13.3307 Å
α = 90.00°, β = 90.00°, γ = 90.00°
Space group I4/mmm (No. 139)
One atom of each set of equivalent atoms:
Ac 0.0000 0.0000 0.2174
Tb 0.0000 0.0000 0.5000
Zn 0.0000 0.5000 0.0981

Uncorrected energy (eV/atom): -2.69

***

Record 21
Here is an optimized crystal structure of AcTb5Zn6 from Alexandria via LeMat-Bulk. Energies are from PBE-GGA.

a = 5.1348 Å, b = 7.2787 Å, c = 15.4362 Å
α = 90.00°, β = 90.00°, γ = 90.00°
Space group Immm (No. 71)
One atom of each set of equivalent atoms:
Ac 0.0000 0.0000 0.0000
Tb 0.0000 0.0000 0.3306
Tb 0.0000 0.5000 0.0000
Tb 0.0000 0.5000 0.3358
Zn 0.0000 0.2236 0.5000
Zn 0.0000 0.2644 0.1731

Uncorrected energy (eV/atom): -3.21

***

Record 22
Here is an optimized crystal structure of AcTb3Zn2 from Alexandria via LeMat-Bulk. Energies are from PBE-GGA.

a = 3.6405 Å, b = 3.6405 Å, c = 12.6233 Å
α = 90.00°, β = 90.00°, γ = 90.00°
Space group P4/mmm (No. 123)
One atom of each set of equivalent atoms:
Ac 0.0000 0.0000 0.0000
Tb 0.5000 0.5000 0.2229
Tb 0.5000 0.5000 0.5000
Zn 0.0000 0.0000 0.3611

Uncorrected energy (eV/atom): -3.63